Density functional theory data (PBE) for RbTmHg after structural relaxation.

As for the formation energy: 0.10 eV per atom. Its total DFT energy (no corrections) is -1.81 eV per atom. As for the density of states at the Fermi level: 9.10 states/eV/cell.

The structure belongs to space group Amm2 (No. 38); the cell edges are 17.239, 3.920 and 6.794 Å and the angles 90.00°, 90.00° and 90.00°. The asymmetric unit holds Rb at (0.172, 0.000, 0.000), Tm at (0.382, 0.000, 0.670), Hg at (0.000, 0.000, 0.666) and Hg at (0.500, 0.000, 0.003).